{
  "formula": "ZnGaWO6",
  "functional": "PBE with a Hubbard U",
  "state": "optimized geometry",
  "crystal_system": "trigonal",
  "volume_a3_per_atom": 11.40,
  "dft_energy_ev_per_atom": -6.09,
  "lattice": [[5.154, 0.000, 0.000], [-2.577, 4.463, 0.000], [0.000, 0.000, 8.924]],
  "species": ["O", "O", "O", "O", "O", "O", "O", "O", "O", "O", "O", "O", "Zn", "Zn", "Ga", "Ga", "W", "W"],
  "frac_coords": [[0.646, 0.992, 0.368], [0.354, 0.008, 0.632], [0.008, 0.654, 0.368], [0.992, 0.346, 0.632], [0.008, 0.354, 0.132], [0.646, 0.654, 0.132], [0.654, 0.008, 0.868], [0.346, 0.354, 0.368], [0.654, 0.646, 0.632], [0.992, 0.646, 0.868], [0.354, 0.346, 0.868], [0.346, 0.992, 0.132], [0.000, 0.000, 0.000], [0.000, 0.000, 0.500], [0.667, 0.333, 0.250], [0.333, 0.667, 0.750], [0.667, 0.333, 0.750], [0.333, 0.667, 0.250]]
}